No. 1
Sr4LiSm2Ta2O12: relaxed, PBE-GGA.

Output
M_tot = 0.00 μB/f.u.
formation energy from raw total energies = -2.8847 eV/atom
energy above the most stable polymorph in this dataset = 16 meV per atom
space-group type = P1, No. 1
calculated total energy = -161.86 eV per cell

Cell and atoms, written as POSCAR:
```
Sr4LiSm2Ta2O12
1.0
5.918 0.000 0.000
-0.072 6.109 0.000
-0.067 -0.025 8.463
Sr Li Sm Ta O
4 1 2 2 12
direct
0.000 0.000 0.000
0.016 0.075 0.505
0.473 0.509 0.999
0.492 0.651 0.497
0.612 0.261 0.498
0.491 0.049 0.764
0.986 0.548 0.248
0.490 0.054 0.239
0.989 0.549 0.746
0.081 0.528 0.515
0.173 0.276 0.796
0.212 0.239 0.203
0.263 0.744 0.790
0.302 0.782 0.202
0.418 0.037 0.484
0.587 0.090 0.018
0.663 0.342 0.299
0.709 0.359 0.689
0.769 0.871 0.291
0.801 0.824 0.700
0.899 0.576 0.977
```


No. 2
K2GeTe4Pb: relaxed, PBE-GGA.

Output
M_tot = 0.00 μB/f.u.
formation energy from raw total energies = -0.5006 eV/atom
space-group type = Pmn2_1, No. 31
calculated total energy = -54.18 eV per cell

Cell and atoms, written as POSCAR:
```
K2GeTe4Pb
1.0
10.642 0.000 0.000
0.000 9.628 0.000
0.000 0.000 7.076
K Ge Te Pb
4 2 8 2
direct
0.241 0.165 0.000
0.259 0.835 0.500
0.741 0.835 0.500
0.759 0.165 0.000
0.000 0.659 0.077
0.500 0.341 0.577
0.000 0.401 0.953
0.000 0.632 0.447
0.207 0.795 0.993
0.293 0.205 0.493
0.500 0.368 0.947
0.500 0.599 0.453
0.707 0.205 0.493
0.793 0.795 0.993
0.000 0.332 0.531
0.500 0.668 0.031
```


No. 3
Ba2GeSe: relaxed, PBE-GGA.

Output
M_tot = 0.00 μB/f.u.
formation energy from raw total energies = -1.2923 eV/atom
energy above the most stable polymorph in this dataset = 0 meV per atom
space-group type = Cmcm, No. 63
calculated total energy = -34.23 eV per cell

Cell and atoms, written as POSCAR:
```
Ba2GeSe
1.0
2.460 -13.136 0.000
2.460 13.136 0.000
0.000 0.000 4.506
Ba Ge Se
4 2 2
direct
0.063 0.937 0.750
0.314 0.686 0.750
0.686 0.314 0.250
0.937 0.063 0.250
0.470 0.530 0.750
0.530 0.470 0.250
0.189 0.811 0.750
0.811 0.189 0.250
```


No. 4
UCdIn2: relaxed, PBE-GGA.

Output
M_tot = 2.72 μB/f.u.
energy above the most stable polymorph in this dataset = 0 meV per atom
space-group type = P4/mmm, No. 123
E_form = 153 meV per atom
calculated total energy = -17.07 eV per cell

Cell and atoms, written as POSCAR:
```
UCdIn2
1.0
3.067 0.000 0.000
0.000 3.067 0.000
0.000 0.000 10.185
U Cd In
1 1 2
direct
0.000 0.000 0.000
0.000 0.000 0.500
0.500 0.500 0.251
0.500 0.500 0.749
```


No. 5
TaAg2Au: relaxed, PBE-GGA.

Output
M_tot = 0.00 μB/f.u.
energy above the most stable polymorph in this dataset = 30 meV per atom
space-group type = R3m, No. 160
E_form = 122 meV per atom
calculated total energy = -20.35 eV per cell

Cell and atoms, written as POSCAR:
```
TaAg2Au
1.0
1.470 0.849 9.599
-1.470 0.849 9.599
0.000 -1.698 9.599
Ta Ag Au
1 2 1
direct
0.000 0.000 0.000
0.249 0.249 0.249
0.499 0.499 0.499
0.748 0.748 0.748
```


No. 6
LiPm2Co: relaxed, PBE-GGA.

Output
M_tot = 0.00 μB/f.u.
energy above the most stable polymorph in this dataset = 0 meV per atom
space-group type = C2/m, No. 12
E_form = -42 meV per atom
calculated total energy = -37.38 eV per cell

Cell and atoms, written as POSCAR:
```
LiPm2Co
1.0
6.820 -1.856 0.000
6.820 1.856 0.000
-0.712 0.000 7.925
Li Pm Co
2 4 2
direct
0.128 0.128 0.456
0.872 0.872 0.544
0.267 0.267 0.818
0.470 0.470 0.206
0.530 0.530 0.794
0.733 0.733 0.182
0.101 0.101 0.045
0.899 0.899 0.955
```


No. 7
RbTbNd2: relaxed, PBE-GGA.

Output
M_tot = 0.00 μB/f.u.
space-group type = R-3m, No. 166
E_form = 243 meV per atom
calculated total energy = -14.16 eV per cell

Cell and atoms, written as POSCAR:
```
RbTbNd2
1.0
1.850 1.068 13.538
-1.850 1.068 13.538
0.000 -2.137 13.538
Rb Tb Nd
1 1 2
direct
0.000 0.000 0.000
0.500 0.500 0.500
0.096 0.096 0.096
0.904 0.904 0.904
```


No. 8
TiTl2C: relaxed, PBE-GGA.

Output
M_tot = 0.00 μB/f.u.
energy above the most stable polymorph in this dataset = 0 meV per atom
space-group type = I-42d, No. 122
E_form = 792 meV per atom
calculated total energy = -37.37 eV per cell

Cell and atoms, written as POSCAR:
```
TiTl2C
1.0
-4.687 4.687 2.049
4.687 -4.687 2.049
4.687 4.687 -2.049
Ti Tl C
2 4 2
direct
0.000 0.000 0.000
0.750 0.250 0.500
0.259 0.625 0.134
0.375 0.509 0.634
0.491 0.125 0.866
0.875 0.741 0.366
0.250 0.750 0.500
0.500 0.500 0.000
```


No. 9
HfInNiN2: relaxed, PBE-GGA.

Output
M_tot = 1.37 μB/f.u.
formation energy from raw total energies = 1.2408 eV/atom
space-group type = P4/mmm, No. 123
calculated total energy = -28.92 eV per cell

Cell and atoms, written as POSCAR:
```
HfInNiN2
1.0
3.937 0.000 0.000
0.000 3.937 0.000
0.000 0.000 4.761
Hf In Ni N
1 1 1 2
direct
0.000 0.000 0.000
0.500 0.500 0.000
0.500 0.500 0.500
0.000 0.500 0.500
0.500 0.000 0.500
```


No. 10
Tb2DyZrAs4: relaxed, PBE-GGA.

Output
M_tot = 0.00 μB/f.u.
space-group type = P2/m, No. 10
E_form = -1434 meV per atom
calculated total energy = -52.48 eV per cell

Cell and atoms, written as POSCAR:
```
Tb2DyZrAs4
1.0
7.024 0.000 0.000
0.000 4.053 0.000
-2.321 0.000 6.630
Tb Dy Zr As
2 1 1 4
direct
0.000 0.000 0.000
0.500 0.500 0.000
0.000 0.500 0.500
0.500 0.000 0.500
0.255 0.000 0.743
0.260 0.500 0.261
0.740 0.500 0.739
0.745 0.000 0.257
```


No. 11
BaAuN: relaxed, PBE-GGA.

Output
M_tot = 0.00 μB/f.u.
formation energy from raw total energies = -0.2509 eV/atom
space-group type = Amm2, No. 38
calculated total energy = -14.28 eV per cell

Cell and atoms, written as POSCAR:
```
BaAuN
1.0
4.039 0.000 0.000
0.000 2.913 2.972
0.000 -2.913 2.972
Ba Au N
1 1 1
direct
0.000 0.000 0.000
0.500 0.474 0.474
0.000 0.543 0.543
```


No. 12
ZnGeRuSeO: relaxed, PBE-GGA.

Output
M_tot = 0.00 μB/f.u.
formation energy from raw total energies = -0.4019 eV/atom
energy above the most stable polymorph in this dataset = 173 meV per atom
space-group type = Cm, No. 8
calculated total energy = -25.62 eV per cell

Cell and atoms, written as POSCAR:
```
ZnGeRuSeO
1.0
4.257 -1.946 0.000
4.257 1.946 0.000
-2.184 0.000 5.515
Zn Ge Ru Se O
1 1 1 1 1
direct
0.000 0.000 0.000
0.291 0.291 0.667
0.873 0.873 0.520
0.549 0.549 0.275
0.125 0.125 0.778
```


Q: The highest calculated total energy belongs to which entry?
A: RbTbNd2


Q: The lowest calculated total energy belongs to which entry?
A: Sr4LiSm2Ta2O12


Q: The highest calculated total energy belongs to which entry?
A: RbTbNd2